Computed, not measured: a relaxed structure of Li6Sb2H at the PBE level of DFT.

Lattice parameters (Å, degrees): 5.8986 5.8986 5.8986 118.85 118.85 92.00
Last column: nearest neighbours and their distance in Å.
Positions (direct):
Li (0.2346, 0.2346, 0.4692)  1 H 1.99
Li (0.2346, 0.7654, 0.0000)  1 H 1.99
Li (0.2389, 0.2389, 0.0000)  1 H 1.96
Li (0.7611, 0.7611, 0.0000)  1 H 1.96
Li (0.7654, 0.2346, 0.0000)  1 H 1.99
Li (0.7654, 0.7654, 0.5308)  1 H 1.99
Sb (0.2500, 0.7500, 0.5000)  12 Li 2.95-3.00
Sb (0.7500, 0.2500, 0.5000)  12 Li 2.95-3.00
H (0.0000, 0.0000, 0.0000)  6 Li 1.96-1.99

- Mass density: 3.2 g cm⁻³
- E_tot: -27.64 eV/f.u.
- Polymorph energy (0 for the lowest one): 0 meV/atom